1.
Entry from Alexandria: a geometry-optimized BaTlZn2Fe structure (PBE-GGA).

a = 4.9243 Å, b = 5.0696 Å, c = 4.9243 Å
α = 90.00°, β = 90.00°, γ = 90.00°
Element x y z (fractional)
Tl 0.0000 0.5000 0.0000
Zn 0.5000 0.0000 0.0000
Zn 0.0000 0.0000 0.5000
Ba 0.5000 0.5000 0.5000
Fe 0.0000 0.0000 0.0000

Computed properties:
- E_form (meV/atom) = 16.3
- V (Å³ per cell) = 122.93
- total energy (eV per atom) = -3.044
- DOS(E_F) (states/eV/f.u.) = 2.3



2.
Entry from Alexandria: a geometry-optimized BaTlZn2Fe structure (PBE-GGA).

a = 4.9471 Å, b = 5.4898 Å, c = 4.9471 Å
α = 90.00°, β = 90.00°, γ = 90.00°
Element x y z (fractional)
Tl 0.5000 0.5000 0.5000
Zn 0.5000 0.0000 0.0000
Zn 0.0000 0.0000 0.5000
Fe 0.0000 0.0000 0.0000
Ba 0.0000 0.5000 0.0000

Computed properties:
- E_form (meV/atom) = 357.5
- V (Å³ per cell) = 134.36
- total energy (eV per atom) = -2.702
- DOS(E_F) (states/eV/f.u.) = 4.7



3.
Entry from Alexandria: a geometry-optimized Ba2VFe structure (PBE-GGA).

a = 5.6966 Å, b = 5.6966 Å, c = 5.6966 Å
α = 60.00°, β = 60.00°, γ = 60.00°
Element x y z (fractional)
Ba 0.7500 0.7500 0.7500
Ba 0.2500 0.2500 0.2500
V 0.0000 0.0000 0.0000
Fe 0.5000 0.5000 0.5000

Computed properties:
- E_form (meV/atom) = 1012.0
- V (Å³ per cell) = 130.72
- total energy (eV per atom) = -4.345
- DOS(E_F) (states/eV/f.u.) = 5.1



4.
Entry from Alexandria: a geometry-optimized Ba3VFe structure (PBE-GGA).

a = 6.0150 Å, b = 6.0150 Å, c = 6.0150 Å
α = 90.00°, β = 90.00°, γ = 90.00°
Element x y z (fractional)
V 0.0000 0.0000 0.0000
Ba 0.0000 0.0000 0.5000
Ba 0.5000 0.0000 0.0000
Ba 0.0000 0.5000 0.0000
Fe 0.5000 0.5000 0.5000

Computed properties:
- E_form (meV/atom) = 1179.6
- V (Å³ per cell) = 217.62
- total energy (eV per atom) = -3.490
- DOS(E_F) (states/eV/f.u.) = 8.8



5.
Entry from Alexandria: a geometry-optimized BaV2Fe structure (PBE-GGA).

a = 4.7812 Å, b = 4.7812 Å, c = 4.7812 Å
α = 60.00°, β = 60.00°, γ = 60.00°
Element x y z (fractional)
Ba 0.5000 0.5000 0.5000
V 0.2500 0.2500 0.2500
V 0.7500 0.7500 0.7500
Fe 0.0000 0.0000 0.0000

Computed properties:
- E_form (meV/atom) = 1161.2
- V (Å³ per cell) = 77.28
- total energy (eV per atom) = -5.994
- DOS(E_F) (states/eV/f.u.) = 4.4



6.
Entry from Alexandria: a geometry-optimized BaV2Fe structure (PBE-GGA).

a = 5.2795 Å, b = 5.2795 Å, c = 8.4365 Å
α = 71.77°, β = 71.77°, γ = 90.00°
Element x y z (fractional)
V 0.8750 0.6250 0.7500
V 0.3750 0.6250 0.2500
V 0.3750 0.6250 0.7500
V 0.3750 0.1250 0.2500
Fe 0.5000 0.5000 0.0000
Fe 0.2500 0.7500 0.5000
Ba 0.7500 0.2500 0.5000
Ba 0.0000 0.0000 0.0000

Computed properties:
- E_form (meV/atom) = 1031.4
- V (Å³ per cell) = 210.87
- total energy (eV per atom) = -6.124
- DOS(E_F) (states/eV/f.u.) = 4.6



7.
Entry from Alexandria: a geometry-optimized BaFeW2 structure (PBE-GGA).

a = 10.3231 Å, b = 10.3231 Å, c = 10.3231 Å
α = 16.57°, β = 16.57°, γ = 16.57°
Element x y z (fractional)
W 0.0190 0.0190 0.0190
W 0.4810 0.4810 0.4810
Ba 0.2500 0.2500 0.2500
Fe 0.7500 0.7500 0.7500

Computed properties:
- E_form (meV/atom) = 1199.3
- V (Å³ per cell) = 78.00
- total energy (eV per atom) = -7.874
- DOS(E_F) (states/eV/f.u.) = 4.6



8.
Entry from Alexandria: a geometry-optimized BaFe2W structure (PBE-GGA).

a = 4.6638 Å, b = 4.6638 Å, c = 4.6638 Å
α = 60.00°, β = 60.00°, γ = 60.00°
Element x y z (fractional)
Fe 0.7500 0.7500 0.7500
Fe 0.0000 0.0000 0.0000
Ba 0.5000 0.5000 0.5000
W 0.2500 0.2500 0.2500

Computed properties:
- E_form (meV/atom) = 1433.2
- V (Å³ per cell) = 71.73
- total energy (eV per atom) = -6.517
- DOS(E_F) (states/eV/f.u.) = 3.5



9.
Entry from Alexandria: a geometry-optimized BaFe2W structure (PBE-GGA).

a = 9.1676 Å, b = 9.1676 Å, c = 9.1676 Å
α = 19.76°, β = 19.76°, γ = 19.76°
Element x y z (fractional)
Fe 0.5207 0.5207 0.5207
Fe 0.9793 0.9793 0.9793
W 0.2500 0.2500 0.2500
Ba 0.7500 0.7500 0.7500

Computed properties:
- E_form (meV/atom) = 988.8
- V (Å³ per cell) = 77.06
- total energy (eV per atom) = -6.962
- DOS(E_F) (states/eV/f.u.) = 4.8



10.
Entry from Alexandria: a geometry-optimized BaFeW4 structure (PBE-GGA).

a = 5.5119 Å, b = 5.5119 Å, c = 5.5119 Å
α = 60.00°, β = 60.00°, γ = 60.00°
Element x y z (fractional)
Ba 0.7500 0.7500 0.7500
W 0.3748 0.8757 0.3748
W 0.3748 0.3748 0.8757
W 0.8757 0.3748 0.3748
W 0.3748 0.3748 0.3748
Fe 0.0000 0.0000 0.0000

Computed properties:
- E_form (meV/atom) = 1163.4
- V (Å³ per cell) = 118.41
- total energy (eV per atom) = -9.203
- DOS(E_F) (states/eV/f.u.) = 6.7



11.
Entry from Alexandria: a geometry-optimized BaFe4W structure (PBE-GGA).

a = 5.1077 Å, b = 5.1077 Å, c = 5.1077 Å
α = 60.00°, β = 60.00°, γ = 60.00°
Element x y z (fractional)
Ba 0.0000 0.0000 0.0000
Fe 0.3773 0.3773 0.3773
Fe 0.3773 0.3773 0.8681
Fe 0.3773 0.8681 0.3773
Fe 0.8681 0.3773 0.3773
W 0.7500 0.7500 0.7500

Computed properties:
- E_form (meV/atom) = 862.0
- V (Å³ per cell) = 94.23
- total energy (eV per atom) = -7.259
- DOS(E_F) (states/eV/f.u.) = 6.6



12.
Entry from Alexandria: a geometry-optimized BaFeW2 structure (PBE-GGA).

a = 3.2779 Å, b = 3.2779 Å, c = 7.8452 Å
α = 90.00°, β = 90.00°, γ = 90.00°
Element x y z (fractional)
Fe 0.5000 0.5000 0.7500
Ba 0.5000 0.5000 0.2500
W 0.0000 0.0000 0.5990
W 0.0000 0.0000 0.9010

Computed properties:
- E_form (meV/atom) = 922.8
- V (Å³ per cell) = 84.29
- total energy (eV per atom) = -8.150
- DOS(E_F) (states/eV/f.u.) = 4.3



13.
Entry from Alexandria: a geometry-optimized BaFe2W structure (PBE-GGA).

a = 7.1563 Å, b = 7.1563 Å, c = 6.0383 Å
α = 53.66°, β = 53.66°, γ = 90.00°
Element x y z (fractional)
W 0.7500 0.2500 0.5000
W 0.0000 0.0000 0.0000
Fe 0.7016 0.1250 0.2500
Fe 0.0484 0.6250 0.2500
Fe 0.3750 0.2984 0.7500
Fe 0.8750 0.9516 0.7500
Ba 0.5000 0.5000 0.0000
Ba 0.2500 0.7500 0.5000

Computed properties:
- E_form (meV/atom) = 1255.2
- V (Å³ per cell) = 168.73
- total energy (eV per atom) = -6.695
- DOS(E_F) (states/eV/f.u.) = 2.3



14.
Entry from Alexandria: a geometry-optimized BaFeW2 structure (PBE-GGA).

a = 4.6392 Å, b = 4.6392 Å, c = 4.6392 Å
α = 60.00°, β = 60.00°, γ = 60.00°
Element x y z (fractional)
W 0.7500 0.7500 0.7500
W 0.2500 0.2500 0.2500
Ba 0.5000 0.5000 0.5000
Fe 0.0000 0.0000 0.0000

Computed properties:
- E_form (meV/atom) = 1693.5
- V (Å³ per cell) = 70.60
- total energy (eV per atom) = -7.379
- DOS(E_F) (states/eV/f.u.) = 2.7



15.
Entry from Alexandria: a geometry-optimized BaFeW2 structure (PBE-GGA).

a = 4.7717 Å, b = 4.7717 Å, c = 4.7717 Å
α = 119.98°, β = 119.98°, γ = 90.04°
Element x y z (fractional)
W 0.2500 0.7500 0.5000
W 0.0000 0.0000 0.0000
Fe 0.7500 0.2500 0.5000
Ba 0.5000 0.5000 0.0000

Computed properties:
- E_form (meV/atom) = 1406.1
- V (Å³ per cell) = 76.85
- total energy (eV per atom) = -7.667
- DOS(E_F) (states/eV/f.u.) = 3.4



16.
Entry from Alexandria: a geometry-optimized Ba2Fe2W structure (PBE-GGA).

a = 4.4807 Å, b = 4.4807 Å, c = 7.3076 Å
α = 72.15°, β = 72.15°, γ = 90.00°
Element x y z (fractional)
Fe 0.5762 0.5762 0.8476
Fe 0.4238 0.4238 0.1524
W 0.0000 0.0000 0.0000
Ba 0.7500 0.2500 0.5000
Ba 0.2500 0.7500 0.5000

Computed properties:
- E_form (meV/atom) = 1799.2
- V (Å³ per cell) = 132.21
- total energy (eV per atom) = -4.946
- DOS(E_F) (states/eV/f.u.) = 8.3



17.
Entry from Alexandria: a geometry-optimized BaFeW2 structure (PBE-GGA).

a = 5.9266 Å, b = 5.9266 Å, c = 5.9266 Å
α = 141.62°, β = 141.62°, γ = 55.41°
Element x y z (fractional)
Ba 0.2500 0.7500 0.5000
Fe 0.7500 0.2500 0.5000
W 0.0000 0.0000 0.0000
W 0.5000 0.5000 0.0000

Computed properties:
- E_form (meV/atom) = 1633.2
- V (Å³ per cell) = 79.67
- total energy (eV per atom) = -7.440
- DOS(E_F) (states/eV/f.u.) = 6.3



18.
Entry from Alexandria: a geometry-optimized BaFe2W structure (PBE-GGA).

a = 5.9014 Å, b = 5.9014 Å, c = 5.9014 Å
α = 151.75°, β = 127.27°, γ = 60.89°
Element x y z (fractional)
Fe 0.7544 0.2544 0.5000
Fe 0.9552 0.9552 0.0000
Ba 0.2462 0.7462 0.5000
W 0.5442 0.5442 0.0000

Computed properties:
- E_form (meV/atom) = 1177.6
- V (Å³ per cell) = 76.82
- total energy (eV per atom) = -6.773
- DOS(E_F) (states/eV/f.u.) = 5.6



19.
Entry from Alexandria: a geometry-optimized BaFeW structure (PBE-GGA).

a = 4.9608 Å, b = 4.9608 Å, c = 4.9608 Å
α = 60.00°, β = 60.00°, γ = 60.00°
Element x y z (fractional)
Ba 0.7500 0.7500 0.7500
Fe 0.0000 0.0000 0.0000
W 0.5000 0.5000 0.5000

Computed properties:
- E_form (meV/atom) = 2749.2
- V (Å³ per cell) = 86.32
- total energy (eV per atom) = -5.030
- DOS(E_F) (states/eV/f.u.) = 6.6



20.
Entry from Alexandria: a geometry-optimized BaFe2W structure (PBE-GGA).

a = 3.2215 Å, b = 3.2089 Å, c = 8.2786 Å
α = 67.00°, β = 90.00°, γ = 90.00°
Element x y z (fractional)
Ba 0.5000 0.7500 0.7500
W 0.5000 0.2500 0.2500
Fe 0.0000 0.9066 0.0942
Fe 0.0000 0.5934 0.4058

Computed properties:
- E_form (meV/atom) = 603.3
- V (Å³ per cell) = 78.78
- total energy (eV per atom) = -7.347
- DOS(E_F) (states/eV/f.u.) = 3.8